DFT (SCAN) results for Ta2HPdN at its PBEsol-relaxed geometry.

The space group is P4/mmm (No. 123) and the conventional cell measures 4.1756, 4.1756 and 3.3958 Å, with angles of 90.00, 90.00 and 90.00 degrees. The asymmetric unit holds Ta at (0.0000, 0.5000, 0.0000), H at (0.0000, 0.0000, 0.0000), Pd at (0.0000, 0.0000, 0.5000) and N at (0.5000, 0.5000, 0.5000).

***

DFT (SCAN) results for HPtSN2 at its PBEsol-relaxed geometry.

The space group is P4/mmm (No. 123) and the conventional cell measures 3.8550, 3.8550 and 3.0167 Å, with angles of 90.00, 90.00 and 90.00 degrees. The asymmetric unit holds H at (0.0000, 0.0000, 0.0000), Pt at (0.5000, 0.5000, 0.5000), S at (0.0000, 0.0000, 0.5000) and N at (0.0000, 0.5000, 0.0000).

***

DFT (SCAN) results for HPtSeN2 at its PBEsol-relaxed geometry.

The space group is P4/mmm (No. 123) and the conventional cell measures 3.9033, 3.9033 and 3.1939 Å, with angles of 90.00, 90.00 and 90.00 degrees. The asymmetric unit holds H at (0.0000, 0.0000, 0.0000), Pt at (0.5000, 0.5000, 0.5000), Se at (0.0000, 0.0000, 0.5000) and N at (0.0000, 0.5000, 0.0000).

***

DFT (SCAN) results for HPtSe2N at its PBEsol-relaxed geometry.

The space group is P4/mmm (No. 123) and the conventional cell measures 4.8107, 4.8107 and 2.6974 Å, with angles of 90.00, 90.00 and 90.00 degrees. The asymmetric unit holds H at (0.0000, 0.0000, 0.0000), Pt at (0.5000, 0.5000, 0.5000), Se at (0.0000, 0.5000, 0.0000) and N at (0.0000, 0.0000, 0.5000).

***

DFT (SCAN) results for RbH2N at its PBEsol-relaxed geometry.

The space group is P2_1/m (No. 11) and the conventional cell measures 4.7677, 3.9074 and 6.3579 Å, with angles of 90.00, 99.05 and 90.00 degrees. The asymmetric unit holds Rb at (0.2062, 0.2500, 0.3048), H at (0.3342, 0.0458, 0.8731) and N at (0.2938, 0.2500, 0.7687).

***

DFT (SCAN) results for RbHS2N at its PBEsol-relaxed geometry.

The space group is P4/mmm (No. 123) and the conventional cell measures 6.4831, 6.4831 and 6.3606 Å, with angles of 90.00, 90.00 and 90.00 degrees. The asymmetric unit holds Rb at (0.0000, 0.0000, 0.0000), H at (0.5000, 0.5000, 0.5000), S at (0.0000, 0.5000, 0.0000) and N at (0.0000, 0.0000, 0.5000).

***

DFT (SCAN) results for Rb2SnH12N6 at its PBEsol-relaxed geometry.

The space group is P-3 (No. 147) and the conventional cell measures 6.5279, 6.5279 and 5.6403 Å, with angles of 90.00, 90.00 and 120.00 degrees. The asymmetric unit holds Rb at (0.3333, 0.6667, 0.3069), Sn at (0.0000, 0.0000, 0.5000), H at (0.0534, 0.2615, 0.8901), H at (0.1375, 0.7113, 0.7289) and N at (0.1074, 0.3164, 0.7186).

***

DFT (SCAN) results for RbTa2HN at its PBEsol-relaxed geometry.

The space group is P4/mmm (No. 123) and the conventional cell measures 4.0344, 4.0344 and 7.3795 Å, with angles of 90.00, 90.00 and 90.00 degrees. The asymmetric unit holds Rb at (0.0000, 0.0000, 0.0000), Ta at (0.0000, 0.5000, 0.5000), H at (0.5000, 0.5000, 0.0000) and N at (0.5000, 0.5000, 0.5000).

***

DFT (SCAN) results for Re2HN at its PBEsol-relaxed geometry.

The space group is Fm-3m (No. 225) and the conventional cell measures 5.3408, 5.3408 and 5.3408 Å, with angles of 90.00, 90.00 and 90.00 degrees. The asymmetric unit holds Re at (0.2500, 0.2500, 0.2500), H at (0.0000, 0.0000, 0.0000) and N at (0.0000, 0.0000, 0.5000).

***

DFT (SCAN) results for ReHN2 at its PBEsol-relaxed geometry.

The space group is R-3m (No. 166, hexagonal axes) and the conventional cell measures 2.8776, 2.8776 and 14.8029 Å, with angles of 90.00, 90.00 and 120.00 degrees. The asymmetric unit holds Re at (0.0000, 0.0000, 0.0000), H at (0.0000, 0.0000, 0.5000) and N at (0.0000, 0.0000, 0.4145).

***

DFT (SCAN) results for ReTcHN2 at its PBEsol-relaxed geometry.

The space group is P4/mmm (No. 123) and the conventional cell measures 3.7658, 3.7658 and 2.9874 Å, with angles of 90.00, 90.00 and 90.00 degrees. The asymmetric unit holds Re at (0.0000, 0.0000, 0.0000), Tc at (0.5000, 0.5000, 0.0000), H at (0.5000, 0.5000, 0.5000) and N at (0.0000, 0.5000, 0.5000).

***

DFT (SCAN) results for ReHWN2 at its PBEsol-relaxed geometry.

The space group is P4/mmm (No. 123) and the conventional cell measures 3.7898, 3.7898 and 3.0637 Å, with angles of 90.00, 90.00 and 90.00 degrees. The asymmetric unit holds Re at (0.0000, 0.0000, 0.0000), H at (0.5000, 0.5000, 0.5000), W at (0.5000, 0.5000, 0.0000) and N at (0.0000, 0.5000, 0.5000).

***

no.,total DFT energy (no corrections) (eV per formula unit)
1,-175.6
2,-91.1
3,-101.8
4,-117.7
5,-38.6
6,-43.6
7,-182.4
8,-163.7
9,-149.2
10,-92.5
11,-120.6
12,-154.9